Rb2NiSbI6 PBE optimized geometry; D(E_F) = 0.413 states/eV/atom; space-group type = I4/mmm (139); magnetic moment = 0.001 μB/f.u.; raw formation energy = -0.6549 eV/atom
1.0
8.2384 0.0000 0.0000
0.0000 8.2384 0.0000
4.1192 4.1192 5.8027
I Rb Ni Sb
6 2 1 1
direct
0.7365 0.7365 0.5270
0.2633 0.7367 0.0000
0.7367 0.7367 0.0000
0.2635 0.2635 0.4730
0.2633 0.2633 0.0000
0.7367 0.2633 0.0000
0.7500 0.2500 0.5000
0.2500 0.7500 0.5000
0.5000 0.5000 0.0000
0.0000 0.0000 0.0000

---

Fe2AsP PBE optimized geometry; D(E_F) = 0.678 states/eV/atom; space-group type = F-43m (216); magnetic moment = 4.611 μB/f.u.
1.0
4.2339 0.0000 0.0000
2.1169 3.6667 0.0000
2.1169 1.2222 3.4570
Fe P As
2 1 1
direct
0.0000 0.0000 0.0000
0.7500 0.7500 0.7500
0.2500 0.2500 0.2500
0.5000 0.5000 0.5000

---

BeNiTe PBE optimized geometry; D(E_F) = 0.406 states/eV/atom; space-group type = C2/m (12); magnetic moment = 0.000 μB/f.u.; raw formation energy = -0.2421 eV/atom
1.0
3.6377 0.0263 -0.0069
1.7963 3.1648 -0.0077
0.0063 0.0192 9.4490
Te Be Ni
2 2 2
direct
0.9889 0.6446 0.3552
0.6579 0.3102 0.9175
0.6567 0.3107 0.6473
0.9898 0.6442 0.6256
0.3240 0.9770 0.7617
0.3229 0.9777 0.5107

---

HgC5 PBE optimized geometry; D(E_F) = 0.141 states/eV/atom; offset from the most stable computed form = 0.428 eV/atom; space-group type = Amm2 (38); magnetic moment = 0.925 μB/f.u.
1.0
-9.0822 1.0194 -3.1614
7.9295 -2.4382 4.9698
-0.4768 3.6214 2.5374
C Hg
5 1
direct
0.4551 0.5449 0.5000
0.7714 0.2286 0.0000
0.3020 0.6980 0.0000
0.6951 0.3049 0.0000
0.9554 0.0446 0.5000
0.1543 0.8457 0.5000

---

KPb2Se PBE optimized geometry; D(E_F) = 0.407 states/eV/atom; space-group type = Fmmm (69); magnetic moment = 0.000 μB/f.u.; raw formation energy = -0.2857 eV/atom
1.0
4.6483 0.0038 0.0098
-2.3071 6.3312 0.0136
0.0341 1.6926 4.3282
Pb K Se
2 1 1
direct
0.5000 0.0000 0.5000
0.0000 0.0000 0.0000
0.5000 0.5000 0.0000
0.0000 0.5000 0.5000

---

MgInGa14 PBE optimized geometry; D(E_F) = 0.290 states/eV/atom; space-group type = Amm2 (38); magnetic moment = 0.000 μB/f.u.
1.0
6.1053 0.9136 0.0000
-1.5523 5.9749 0.0000
0.0000 0.0000 8.1596
Ga Mg In
14 1 1
direct
0.3823 0.1230 0.2410
0.8770 0.6177 0.2410
0.6172 0.8814 0.5000
0.8689 0.1311 0.2408
0.1315 0.8685 0.0000
0.8689 0.1311 0.7592
0.3800 0.6200 0.2464
0.8770 0.6177 0.7590
0.3800 0.6200 0.7536
0.1186 0.3828 0.5000
0.3823 0.1230 0.7590
0.1300 0.3695 0.0000
0.6207 0.3793 0.0000
0.6305 0.8700 0.0000
0.6204 0.3796 0.5000
0.1147 0.8853 0.5000

---

NdDyMgPt PBE optimized geometry; D(E_F) = 0.759 states/eV/atom; space-group type = F-43m (216); magnetic moment = 0.000 μB/f.u.
1.0
-5.1612 0.3365 0.0411
-2.8084 -2.9319 -3.2046
-2.8311 -3.9010 1.8761
Dy Nd Pt Mg
1 1 1 1
direct
0.0000 0.0000 0.0000
0.5000 0.5000 0.5000
0.7500 0.7500 0.7500
0.2500 0.2500 0.2500

---

NaLaSb2I PBE optimized geometry; D(E_F) = 0.822 states/eV/atom; offset from the most stable computed form = 0.000 eV/atom; space-group type = P4/mmm (123); magnetic moment = 0.639 μB/f.u.; raw formation energy = -0.2393 eV/atom
1.0
6.1317 0.0000 0.0000
0.0000 6.1317 0.0000
0.0000 0.0000 6.3632
Na Sb La I
1 2 1 1
direct
0.5000 0.5000 0.5000
0.5000 0.0000 0.0000
0.0000 0.5000 0.0000
0.0000 0.0000 0.0000
0.0000 0.0000 0.5000

---

| no. | raw total energy (eV/atom) |
| --- | --- |
| 1 | -2.769 |
| 2 | -6.376 |
| 3 | -4.459 |
| 4 | -6.278 |
| 5 | -3.285 |
| 6 | -2.915 |
| 7 | -4.788 |
| 8 | -3.448 |